Below is Sm2Dy2YHo after structural relaxation, with properties calculated at the PBE-GGA level.

## Properties
Total energy = -4.88 eV per atom
Density = 7.57 g/cm³

a = 5.639 Å, b = 7.010 Å, c = 9.762 Å
α = 90.00°, β = 90.00°, γ = 90.00°
Element x y z (fractional)
Sm1 0.500 0.008 0.000
Sm2 0.000 0.258 0.174
Sm3 0.500 0.508 0.000
Sm4 0.000 0.758 0.826
Dy1 0.000 0.258 0.837
Dy2 0.500 0.258 0.330
Dy3 0.000 0.758 0.163
Dy4 0.500 0.758 0.670
Y1 0.000 0.008 0.500
Y2 0.000 0.508 0.500
Ho1 0.500 0.258 0.661
Ho2 0.500 0.758 0.339

---

Below is SmDy2Y2Ho4 after structural relaxation, with properties calculated at the PBE-GGA level.

## Properties
Total energy = -4.93 eV per atom
Density = 7.56 g/cm³

a = 6.716 Å, b = 9.798 Å, c = 6.664 Å
α = 121.04°, β = 126.57°, γ = 59.33°
Element x y z (fractional)
Sm1 0.000 0.000 0.000
Dy1 0.818 0.445 0.037
Dy2 0.182 0.555 0.963
Y1 0.269 0.659 0.597
Y2 0.731 0.341 0.403
Ho1 0.731 0.881 0.191
Ho2 0.620 0.762 0.507
Ho3 0.269 0.119 0.809
Ho4 0.380 0.238 0.493

---

Below is Sm2Dy3Y6Ho after structural relaxation, with properties calculated at the PBE-GGA level.

## Properties
Total energy = -5.53 eV per atom
Density = 6.41 g/cm³

a = 6.180 Å, b = 6.180 Å, c = 11.821 Å
α = 94.98°, β = 94.98°, γ = 119.95°
Element x y z (fractional)
Sm1 0.333 0.667 0.000
Sm2 0.667 0.333 0.000
Dy1 0.167 0.833 0.500
Dy2 0.833 0.167 0.500
Dy3 0.500 0.500 0.500
Y1 0.916 0.583 0.749
Y2 0.751 0.751 0.251
Y3 0.084 0.417 0.251
Y4 0.583 0.916 0.749
Y5 0.249 0.249 0.749
Y6 0.417 0.084 0.251
Ho1 0.000 0.000 0.000

---

total energy of number 2 (SmDy2Y2Ho4)?
-4.93 eV per atom

---

The lowest total energy belongs to which entry?
Sm2Dy3Y6Ho